(1)
# TiCr3Se

A relaxed structure of TiCr3Se (GGA-PBE, the Alexandria database).

## Properties
**Mass density**: 5.38 g/cm3
**Raw formation energy**: 0.775 eV per atom
**D(E_F)**: 7.55 states/eV/cell
**Offset from the most stable computed form**: 0 meV per atom
**Crystal system**: cubic

Cell lengths 4.4356, 4.4356, 4.4356 Å; angles 90.00, 90.00, 90.00 degrees
Space group Pm-3m (No. 221)
Symmetry-distinct sites (fractional):
Ti  0.0000  0.0000  0.0000 [1 per cell]
Cr  0.0000  0.5000  0.5000 [3 per cell]
Se  0.5000  0.5000  0.5000 [1 per cell]

(2)
# TiCr3Se

A relaxed structure of TiCr3Se (GGA-PBE, the Alexandria database).

## Properties
**Mass density**: 4.81 g/cm3
**Raw formation energy**: 1.388 eV per atom
**D(E_F)**: 10.32 states/eV/cell
**Offset from the most stable computed form**: 613 meV per atom
**Crystal system**: cubic

Cell lengths 4.6036, 4.6036, 4.6036 Å; angles 90.00, 90.00, 90.00 degrees
Space group Pm-3m (No. 221)
Symmetry-distinct sites (fractional):
Ti  0.0000  0.0000  0.0000 [1 per cell]
Cr  0.0000  0.0000  0.5000 [3 per cell]
Se  0.5000  0.5000  0.5000 [1 per cell]

(3)
# TiCrSe3

A relaxed structure of TiCrSe3 (GGA-PBE, the Alexandria database).

## Properties
**Mass density**: 5.13 g/cm3
**Raw formation energy**: -0.739 eV per atom
**D(E_F)**: 15.17 states/eV/cell
**Offset from the most stable computed form**: 16 meV per atom
**Crystal system**: monoclinic

Cell lengths 6.2790, 11.6079, 6.3579 Å; angles 90.00, 109.93, 90.00 degrees
Space group C2/m (No. 12)
Symmetry-distinct sites (fractional):
Ti  0.0000  0.1522  0.0000 [4 per cell]
Cr  0.0000  0.3414  0.5000 [4 per cell]
Se  0.2355  0.5000  0.7572 [4 per cell]
Se  0.2480  0.1880  0.7464 [8 per cell]

(4)
# Ti2CrSe6

A relaxed structure of Ti2CrSe6 (GGA-PBE, the Alexandria database).

## Properties
**Mass density**: 5.78 g/cm3
**Raw formation energy**: -0.720 eV per atom
**D(E_F)**: 6.51 states/eV/cell
**Offset from the most stable computed form**: 183 meV per atom
**Crystal system**: monoclinic

Cell lengths 6.2330, 6.5092, 10.7363 Å; angles 90.00, 124.88, 90.00 degrees
Space group P2_1/c (No. 14)
Symmetry-distinct sites (fractional):
Ti  0.2162  0.1383  0.2559 [4 per cell]
Cr  0.0000  0.0000  0.5000 [2 per cell]
Se  0.0917  0.1679  0.9223 [4 per cell]
Se  0.2598  0.6752  0.9220 [4 per cell]
Se  0.4194  0.0285  0.7526 [4 per cell]

(5)
# TiCrSe2

A relaxed structure of TiCrSe2 (GGA-PBE, the Alexandria database).

## Properties
**Mass density**: 6.51 g/cm3
**Raw formation energy**: -0.399 eV per atom
**D(E_F)**: 17.80 states/eV/cell
**Offset from the most stable computed form**: 60 meV per atom
**Crystal system**: cubic

Cell lengths 6.4085, 6.4085, 6.4085 Å; angles 90.00, 90.00, 90.00 degrees
Space group Fm-3m (No. 225)
Symmetry-distinct sites (fractional):
Ti  0.0000  0.0000  0.0000 [4 per cell]
Cr  0.0000  0.0000  0.5000 [4 per cell]
Se  0.2500  0.2500  0.2500 [8 per cell]

(6)
# TiCrSe3

A relaxed structure of TiCrSe3 (GGA-PBE, the Alexandria database).

## Properties
**Mass density**: 4.91 g/cm3
**Raw formation energy**: -0.755 eV per atom
**D(E_F)**: 5.63 states/eV/cell
**Offset from the most stable computed form**: 0 meV per atom
**Crystal system**: monoclinic

Cell lengths 6.3551, 3.6163, 9.9355 Å; angles 90.00, 93.24, 90.00 degrees
Space group P2_1/m (No. 11)
Symmetry-distinct sites (fractional):
Ti  0.1086  0.2500  0.3192 [2 per cell]
Cr  0.4382  0.2500  0.6686 [2 per cell]
Se  0.1056  0.2500  0.8007 [2 per cell]
Se  0.2490  0.7500  0.5010 [2 per cell]
Se  0.4090  0.2500  0.1795 [2 per cell]

(7)
# TiCrSe3

A relaxed structure of TiCrSe3 (GGA-PBE, the Alexandria database).

## Properties
**Mass density**: 4.64 g/cm3
**Raw formation energy**: -0.094 eV per atom
**D(E_F)**: 3.48 states/eV/cell
**Offset from the most stable computed form**: 661 meV per atom
**Crystal system**: cubic

Cell lengths 4.9393, 4.9393, 4.9393 Å; angles 90.00, 90.00, 90.00 degrees
Space group Pm-3m (No. 221)
Symmetry-distinct sites (fractional):
Ti  0.0000  0.0000  0.0000 [1 per cell]
Cr  0.5000  0.5000  0.5000 [1 per cell]
Se  0.0000  0.0000  0.5000 [3 per cell]

(8)
# Ti3CrSe8

A relaxed structure of Ti3CrSe8 (GGA-PBE, the Alexandria database).

## Properties
**Mass density**: 4.67 g/cm3
**Raw formation energy**: -0.951 eV per atom
**D(E_F)**: 6.43 states/eV/cell
**Crystal system**: monoclinic

Cell lengths 12.1185, 6.9853, 8.0749 Å; angles 90.00, 120.61, 90.00 degrees
Space group C2/m (No. 12)
Symmetry-distinct sites (fractional):
Ti  0.0000  0.0000  0.0000 [2 per cell]
Ti  0.2500  0.2500  0.0000 [4 per cell]
Cr  0.0000  0.5000  0.0000 [2 per cell]
Se  0.0065  0.2532  0.7767 [8 per cell]
Se  0.2402  0.5000  0.2233 [4 per cell]
Se  0.2437  0.0000  0.2271 [4 per cell]